# CaSm3Th2As6 (PBE-GGA, optimized geometry)
data_CaSm3Th2As6
_symmetry_space_group_name_H-M 'P 1'
_symmetry_Int_Tables_number 1
_symmetry_space_group_name_Hall 'P 1'
_cell_length_a 4.2442
_cell_length_b 8.4806
_cell_length_c 9.4661
_cell_angle_alpha 103.03
_cell_angle_beta 102.95
_cell_angle_gamma 90.00
loop_
_atom_site_label
_atom_site_fract_x
_atom_site_fract_y
_atom_site_fract_z
Ca1 0.5000 0.0000 0.0000
Sm1 0.5000 0.5000 0.0000
Sm2 0.8353 0.1658 0.6707
Sm3 0.1647 0.8342 0.3293
Th1 0.8360 0.6714 0.6720
Th2 0.1640 0.3286 0.3280
As1 0.3320 0.9159 0.6640
As2 0.6674 0.5830 0.3348
As3 0.6680 0.0841 0.3360
As4 0.0006 0.2537 0.0012
As5 0.9994 0.7463 0.9988
As6 0.3326 0.4170 0.6652
# ΔH_f (0 K) in eV per atom: -1.455
# VASP energy in eV per atom: -6.36
# Total moment in μB/cell: 0.00
# Space group: C2/m
# Density in g/cm3: 7.22